Run one
Sm5Dy2Er2 | Alexandria via LeMat-Bulk | PBE-GGA | optimized geometry; DOS(E_F) = 23.987 states/eV/cell; mass density = 7884 kg/m3; SG = Ima2, No. 46; total magnetic moment = 0.001 μB per atom
1.0
12.8140 0.0000 0.0000
0.0000 6.1680 0.0000
-6.4070 -3.0840 7.5221
Dy Er Sm
4 4 10
Direct
0.5000 0.3868 0.0000 Dy
0.8048 0.7649 0.5000 Dy
0.0000 0.8868 0.0000 Dy
0.1952 0.2649 0.5000 Dy
0.1840 0.5834 0.2701 Er
0.5861 0.0834 0.2701 Er
0.4139 0.8134 0.7299 Er
0.8160 0.3134 0.7299 Er
0.8480 0.3412 0.0967 Sm
0.5424 0.3108 0.7126 Sm
0.6702 0.8108 0.7126 Sm
0.9283 0.2928 0.5000 Sm
0.0717 0.7928 0.5000 Sm
0.7487 0.8412 0.0967 Sm
0.3298 0.0982 0.2874 Sm
0.1520 0.2445 0.9033 Sm
0.2513 0.7445 0.9033 Sm
0.4576 0.5982 0.2874 Sm

Run two
Sm5Dy2Er2 | Alexandria via LeMat-Bulk | PBE-GGA | optimized geometry; DOS(E_F) = 11.770 states/eV/cell; mass density = 8016 kg/m3; SG = C2/m, No. 12; total magnetic moment = 0.000 μB per atom
1.0
-0.4894 5.0147 0.4803
-9.1701 1.4800 1.8711
-3.1887 1.5543 7.1900
Sm Dy Er
5 2 2
Direct
0.0000 0.0000 0.0000 Sm
0.2228 0.6649 0.8895 Sm
0.3334 0.0008 0.3324 Sm
0.6666 0.9992 0.6676 Sm
0.7772 0.3351 0.1105 Sm
0.4454 0.3351 0.7740 Dy
0.5546 0.6649 0.2260 Dy
0.8901 0.6654 0.5544 Er
0.1099 0.3346 0.4456 Er

Most stable: run two. Least stable: run one.

Run one
Sm2Dy5Er4 | Alexandria via LeMat-Bulk | PBE-GGA | optimized geometry; DOS(E_F) = 15.891 states/eV/cell; mass density = 8182 kg/m3; SG = Immm, No. 71; total magnetic moment = 0.000 μB per atom
1.0
-1.6561 3.0033 0.5922
-7.4779 -3.4107 -3.6159
1.2931 -3.6542 11.9215
Er Sm Dy
4 2 5
Direct
0.0000 0.3112 0.0000 Er
0.0000 0.6888 0.0000 Er
0.4032 0.4032 0.8063 Er
0.5968 0.5968 0.1937 Er
0.7319 0.7319 0.4639 Sm
0.2681 0.2681 0.5361 Sm
0.8574 0.0540 0.7148 Dy
0.1426 0.9460 0.2852 Dy
0.8574 0.6609 0.7148 Dy
0.5000 0.0000 0.0000 Dy
0.1426 0.3391 0.2852 Dy

Run two
Sm2Dy5Er4 | Alexandria via LeMat-Bulk | PBE-GGA | optimized geometry; DOS(E_F) = 14.409 states/eV/cell; mass density = 8554 kg/m3; SG = P-1, No. 2; total magnetic moment = 0.000 μB per atom
1.0
3.5026 -0.5142 -0.0437
-2.3004 8.8884 -1.8987
1.8434 -0.5506 11.5921
Er Dy Sm
4 5 2
Direct
0.3168 0.3631 0.0924 Er
0.7722 0.4542 0.3640 Er
0.2278 0.5458 0.6360 Er
0.6832 0.6369 0.9076 Er
0.5000 0.0000 0.0000 Dy
0.4106 0.1832 0.5447 Dy
0.0439 0.9073 0.7270 Dy
0.5894 0.8168 0.4553 Dy
0.9561 0.0927 0.2730 Dy
0.8634 0.2731 0.8185 Sm
0.1366 0.7269 0.1815 Sm

Most stable: run two. Least stable: run one.

Run one
Sm5Dy4Er | Alexandria via LeMat-Bulk | PBE-GGA | optimized geometry; DOS(E_F) = 13.960 states/eV/cell; mass density = 7776 kg/m3; SG = I4mm, No. 107; total magnetic moment = 0.000 μB per atom
1.0
-3.6939 -2.8311 -3.7551
-5.7743 -4.0108 3.9423
-6.2318 4.6456 -2.1338
Dy Sm Er
4 5 1
Direct
0.4453 0.6749 0.3250 Dy
0.7704 0.6750 0.6749 Dy
0.4453 0.3251 0.6750 Dy
0.1203 0.3250 0.3251 Dy
0.7663 0.0001 0.3782 Sm
0.6880 0.0000 0.0000 Sm
0.1446 0.6218 0.0001 Sm
0.1446 0.9999 0.6218 Sm
0.7664 0.3782 0.9999 Sm
0.2191 0.0000 0.0000 Er

Run two
Sm5Dy4Er | Alexandria via LeMat-Bulk | PBE-GGA | optimized geometry; DOS(E_F) = 12.733 states/eV/cell; mass density = 8033 kg/m3; SG = P-1, No. 2; total magnetic moment = 0.000 μB per atom
1.0
3.5048 -0.0069 -0.7134
-0.3820 9.9310 -2.0179
0.0996 -0.6662 9.4392
Sm Dy Er
5 4 1
Direct
0.0993 0.8030 0.1993 Sm
0.7004 0.6004 0.4004 Sm
0.2996 0.3996 0.5996 Sm
0.9007 0.1970 0.8007 Sm
0.5000 0.5000 0.0000 Sm
0.9000 0.7029 0.7999 Dy
0.3006 0.9002 0.6009 Dy
0.1000 0.2971 0.2001 Dy
0.6994 0.0998 0.3991 Dy
0.5000 0.0000 0.0000 Er

Most stable: run two. Least stable: run one.

Run one
Sm4DyEr5 | Alexandria via LeMat-Bulk | PBE-GGA | optimized geometry; DOS(E_F) = 13.254 states/eV/cell; mass density = 7978 kg/m3; SG = C2/m, No. 12; total magnetic moment = 0.000 μB per atom
1.0
3.4424 -0.0002 -0.6980
-0.1103 11.0868 -0.5406
-0.0201 0.4182 8.7103
Sm Er Dy
4 5 1
Direct
0.3445 0.7502 0.6893 Sm
0.6555 0.2498 0.3107 Sm
0.9699 0.2506 0.9392 Sm
0.0301 0.7494 0.0608 Sm
0.8264 0.0517 0.6523 Er
0.1736 0.9483 0.3477 Er
0.5000 0.5000 0.0000 Er
0.1733 0.5505 0.3469 Er
0.8267 0.4495 0.6531 Er
0.5000 0.0000 0.0000 Dy

Run two
Sm4DyEr5 | Alexandria via LeMat-Bulk | PBE-GGA | optimized geometry; DOS(E_F) = 12.902 states/eV/cell; mass density = 8004 kg/m3; SG = I4mm, No. 107; total magnetic moment = 0.000 μB per atom
1.0
-2.9238 -4.8642 -1.5773
3.1645 -6.5793 3.4252
-6.0521 -1.5793 5.0903
Er Dy Sm
5 1 4
Direct
0.7608 0.3779 0.0002 Er
0.1388 0.6221 0.9998 Er
0.6884 0.0000 0.0000 Er
0.1387 0.0002 0.6221 Er
0.7609 0.9998 0.3779 Er
0.2128 0.0000 0.0000 Dy
0.1291 0.3234 0.3232 Sm
0.4526 0.3232 0.6766 Sm
0.7758 0.6766 0.6768 Sm
0.4524 0.6768 0.3234 Sm

Most stable: run one. Least stable: run two.

Run one
Sm4Dy2Er3 | Alexandria via LeMat-Bulk | PBE-GGA | optimized geometry; DOS(E_F) = 24.189 states/eV/cell; mass density = 8209 kg/m3; SG = Cccm, No. 66; total magnetic moment = 0.000 μB per atom
1.0
-2.7037 5.9880 2.4885
-9.8402 5.5098 -4.1199
-10.9944 1.3514 4.6326
Sm Er Dy
8 6 4
Direct
0.4673 0.8514 0.1813 Sm
0.5327 0.1486 0.8187 Sm
0.3477 0.4715 0.1804 Sm
0.8477 0.1804 0.4715 Sm
0.6523 0.5285 0.8196 Sm
0.9673 0.1813 0.8514 Sm
0.1523 0.8196 0.5285 Sm
0.0327 0.8187 0.1486 Sm
0.7500 0.4997 0.5003 Er
0.2500 0.5003 0.4997 Er
0.0890 0.8306 0.8306 Er
0.5890 0.8306 0.8306 Er
0.9110 0.1694 0.1694 Er
0.4110 0.1694 0.1694 Er
0.8188 0.5298 0.1513 Dy
0.3188 0.1513 0.5298 Dy
0.6812 0.8487 0.4702 Dy
0.1812 0.4702 0.8487 Dy

Run two
Sm4Dy2Er3 | Alexandria via LeMat-Bulk | PBE-GGA | optimized geometry; DOS(E_F) = 24.240 states/eV/cell; mass density = 8219 kg/m3; SG = C2/c, No. 15; total magnetic moment = 0.000 μB per atom
1.0
5.9401 0.0856 0.4890
0.6341 9.4875 3.6958
0.2383 -0.1857 10.1972
Sm Dy Er
8 4 6
Direct
0.1188 0.6191 0.8376 Sm
0.4546 0.9533 0.1736 Sm
0.5454 0.0467 0.8264 Sm
0.9546 0.1736 0.9533 Sm
0.6188 0.8376 0.6191 Sm
0.0454 0.8264 0.0467 Sm
0.8812 0.3809 0.1624 Sm
0.3812 0.1624 0.3809 Sm
0.7926 0.2905 0.5037 Dy
0.2074 0.7095 0.4963 Dy
0.2926 0.5037 0.2905 Dy
0.7074 0.4963 0.7095 Dy
0.4184 0.3197 0.0159 Er
0.9184 0.0159 0.3197 Er
0.5816 0.6803 0.9841 Er
0.0816 0.9841 0.6803 Er
0.2500 0.3492 0.6508 Er
0.7500 0.6508 0.3492 Er

Most stable: run one. Least stable: run two.

Run one
Sm6Dy3Er | Alexandria via LeMat-Bulk | PBE-GGA | optimized geometry; DOS(E_F) = 33.155 states/eV/cell; mass density = 7808 kg/m3; SG = Cmc2_1, No. 36; total magnetic moment = 0.000 μB per atom
1.0
-4.0743 2.8640 -4.0215
0.4451 -9.2852 -7.0638
-7.1159 2.4213 8.9338
Sm Er Dy
12 2 6
Direct
0.5680 0.6206 0.7415 Sm
0.2942 0.6994 0.3006 Sm
0.5680 0.2585 0.3794 Sm
0.3201 0.9841 0.0159 Sm
0.0680 0.3794 0.2585 Sm
0.0680 0.7415 0.6206 Sm
0.3242 0.1057 0.5440 Sm
0.3242 0.4560 0.8943 Sm
0.8201 0.0159 0.9841 Sm
0.7942 0.3006 0.6994 Sm
0.8242 0.5440 0.1057 Sm
0.8242 0.8943 0.4560 Sm
0.5166 0.8410 0.1590 Er
0.0166 0.1590 0.8410 Er
0.4904 0.9583 0.7061 Dy
0.9904 0.0417 0.2939 Dy
0.9904 0.7061 0.9583 Dy
0.0891 0.4200 0.5800 Dy
0.4904 0.2939 0.0417 Dy
0.5891 0.5800 0.4200 Dy

Run two
Sm6Dy3Er | Alexandria via LeMat-Bulk | PBE-GGA | optimized geometry; DOS(E_F) = 27.310 states/eV/cell; mass density = 7792 kg/m3; SG = Cmc2_1, No. 36; total magnetic moment = 0.001 μB per atom
1.0
6.2880 0.0000 0.0000
0.0000 10.9337 -1.6861
0.0000 -4.0834 10.2817
Dy Sm Er
6 12 2
Direct
0.5755 0.6133 0.3867 Dy
0.4649 0.9442 0.7188 Dy
0.9649 0.7188 0.9442 Dy
0.4649 0.2812 0.0558 Dy
0.9649 0.0558 0.2812 Dy
0.0755 0.3867 0.6133 Dy
0.9005 0.0400 0.9600 Sm
0.1468 0.7219 0.2781 Sm
0.6468 0.2781 0.7219 Sm
0.5455 0.6238 0.7113 Sm
0.8603 0.9455 0.5248 Sm
0.3603 0.0545 0.4752 Sm
0.8603 0.4752 0.0545 Sm
0.4005 0.9600 0.0400 Sm
0.0455 0.7113 0.6238 Sm
0.3603 0.5248 0.9455 Sm
0.5455 0.2887 0.3762 Sm
0.0455 0.3762 0.2887 Sm
0.1212 0.1988 0.8012 Er
0.6212 0.8012 0.1988 Er

Most stable: run one. Least stable: run two.

Run one
Sm2Dy5Er12 | Alexandria via LeMat-Bulk | PBE-GGA | optimized geometry; DOS(E_F) = 27.613 states/eV/cell; mass density = 8543 kg/m3; SG = C2/m, No. 12; total magnetic moment = 0.001 μB per atom
1.0
-9.1127 -0.4974 -0.9291
5.5674 -10.2415 -3.8362
-0.9696 3.4365 7.6700
Er Sm Dy
12 2 5
Direct
0.9747 0.3103 0.0661 Er
0.4429 0.8859 0.2163 Er
0.8184 0.2540 0.5984 Er
0.1816 0.7460 0.4016 Er
0.5644 0.7460 0.4016 Er
0.0253 0.6897 0.9339 Er
0.5571 0.1141 0.7837 Er
0.6644 0.6897 0.9339 Er
0.0908 0.1816 0.2995 Er
0.9092 0.8184 0.7005 Er
0.3356 0.3103 0.0661 Er
0.4356 0.2540 0.5984 Er
0.3179 0.0000 0.0000 Sm
0.6821 0.0000 0.0000 Sm
0.3014 0.6028 0.6126 Dy
0.2321 0.4641 0.8886 Dy
0.7679 0.5359 0.1114 Dy
0.6986 0.3972 0.3874 Dy
0.0000 0.0000 0.5000 Dy

Run two
Sm2Dy5Er12 | Alexandria via LeMat-Bulk | PBE-GGA | optimized geometry; DOS(E_F) = 26.063 states/eV/cell; mass density = 8790 kg/m3; SG = P-1, No. 2; total magnetic moment = 0.000 μB per atom
1.0
-0.4184 3.2918 5.1284
-3.8457 -7.8550 5.9559
11.7343 3.9569 -2.8287
Er Dy Sm
12 5 2
Direct
0.0528 0.8953 0.7101 Er
0.1047 0.7883 0.9208 Er
0.3684 0.2648 0.9740 Er
0.3157 0.3678 0.7631 Er
0.7895 0.4198 0.6577 Er
0.6843 0.6322 0.2369 Er
0.5262 0.9482 0.6050 Er
0.9472 0.1047 0.2899 Er
0.8953 0.2117 0.0792 Er
0.6316 0.7352 0.0260 Er
0.4738 0.0518 0.3950 Er
0.2105 0.5802 0.3423 Er
0.8419 0.3161 0.8682 Dy
0.1581 0.6839 0.1318 Dy
0.0000 0.0000 0.5000 Dy
0.7375 0.5267 0.4474 Dy
0.2625 0.4733 0.5526 Dy
0.5793 0.8420 0.8155 Sm
0.4207 0.1580 0.1845 Sm

Most stable: run two. Least stable: run one.

Run one
Sm5Dy4Er2 | Alexandria via LeMat-Bulk | PBE-GGA | optimized geometry; DOS(E_F) = 17.689 states/eV/cell; mass density = 7733 kg/m3; SG = Immm, No. 71; total magnetic moment = 0.000 μB per atom
1.0
-1.7902 -2.8765 0.9107
-1.8613 -1.6126 -8.7524
11.5885 -4.1174 3.0169
Dy Sm Er
4 5 2
Direct
0.0000 0.3102 0.0000 Dy
0.0000 0.6898 0.0000 Dy
0.4031 0.4031 0.8061 Dy
0.5969 0.5969 0.1939 Dy
0.5000 0.0000 0.0000 Sm
0.1468 0.9458 0.2937 Sm
0.8532 0.6521 0.7063 Sm
0.1468 0.3479 0.2937 Sm
0.8532 0.0542 0.7063 Sm
0.7305 0.7305 0.4609 Er
0.2695 0.2695 0.5391 Er

Run two
Sm5Dy4Er2 | Alexandria via LeMat-Bulk | PBE-GGA | optimized geometry; DOS(E_F) = 16.449 states/eV/cell; mass density = 7861 kg/m3; SG = C2/m, No. 12; total magnetic moment = 0.000 μB per atom
1.0
-2.9592 -5.5007 -2.9190
3.9931 -4.8683 -2.8091
0.6023 -7.6400 5.8686
Sm Dy Er
5 4 2
Direct
0.8422 0.3717 0.1786 Sm
0.3717 0.8422 0.1786 Sm
0.1578 0.6283 0.8214 Sm
0.6283 0.1578 0.8214 Sm
0.0000 0.0000 0.5000 Sm
0.3485 0.3485 0.5009 Dy
0.6423 0.6423 0.8487 Dy
0.6515 0.6515 0.4991 Dy
0.3577 0.3577 0.1513 Dy
0.1288 0.1288 0.8486 Er
0.8712 0.8712 0.1514 Er

Most stable: run two. Least stable: run one.

Run one
Sm2Dy7Er | Alexandria via LeMat-Bulk | PBE-GGA | optimized geometry; DOS(E_F) = 15.330 states/eV/cell; mass density = 8172 kg/m3; SG = Cmmm, No. 65; total magnetic moment = 0.000 μB per atom
1.0
-2.8198 0.4671 -2.0265
8.2100 -2.4299 -11.9840
-8.7043 -3.9836 11.1933
Dy Sm Er
7 2 1
Direct
0.0000 0.1854 0.8146 Dy
0.5000 0.5000 0.5000 Dy
0.0000 0.8146 0.1854 Dy
0.5000 0.6560 0.8519 Dy
0.5000 0.8519 0.6560 Dy
0.5000 0.3440 0.1481 Dy
0.5000 0.1481 0.3440 Dy
0.5000 0.2923 0.7077 Sm
0.5000 0.7077 0.2923 Sm
0.0000 0.0000 0.0000 Er

Run two
Sm2Dy7Er | Alexandria via LeMat-Bulk | PBE-GGA | optimized geometry; DOS(E_F) = 14.340 states/eV/cell; mass density = 8396 kg/m3; SG = P-1, No. 2; total magnetic moment = 0.000 μB per atom
1.0
-1.8516 -0.6827 5.8338
-8.8923 3.0253 -0.3015
5.3972 -7.3201 -2.3858
Dy Er Sm
7 1 2
Direct
0.0000 0.4013 0.6006 Dy
0.4998 0.2992 0.2000 Dy
0.5000 0.5000 0.0000 Dy
0.9987 0.7997 0.1991 Dy
0.0000 0.5987 0.3994 Dy
0.0013 0.2003 0.8009 Dy
0.5002 0.7008 0.8000 Dy
0.0000 0.0000 0.0000 Er
0.5008 0.8993 0.6000 Sm
0.4992 0.1007 0.4000 Sm

Most stable: run two. Least stable: run one.